1.
Computed, not measured: crystalline KSmO3 at its relaxed geometry at the PBE-GGA level of DFT.

Structure (extended XYZ):
```
20
Lattice="6.324 0.000 0.000 0.000 6.347 0.000 0.000 0.000 8.919" Properties=species:S:1:pos:R:3 pbc="T T T"
K 6.302 0.116 2.230
K 3.183 3.290 2.230
K 3.140 3.057 6.689
K 0.022 6.231 6.689
O 4.549 1.775 0.273
O 4.937 4.948 0.273
O 0.372 3.025 2.230
O 2.790 6.198 2.230
O 4.549 1.775 4.186
O 4.937 4.948 4.186
O 1.387 1.399 4.733
O 1.775 4.573 4.733
O 3.534 0.149 6.689
O 5.952 3.323 6.689
O 1.387 1.399 8.646
O 1.775 4.573 8.646
Sm 3.162 0.000 0.000
Sm 0.000 3.174 0.000
Sm 3.162 0.000 4.460
Sm 0.000 3.174 4.460
```

## Properties
Total DFT energy (no corrections) = -5.914 eV/atom
Spin magnetization = 8.00 μB/cell

=====

2.
Computed, not measured: crystalline ErMg2AgAu4 at its relaxed geometry at the PBE-GGA level of DFT.

Structure (extended XYZ):
```
8
Lattice="-1.333 -3.915 2.416 0.618 -2.645 -3.945 6.441 -1.110 1.754" Properties=species:S:1:pos:R:3 pbc="T T T"
Ag 3.220 -0.555 0.877
Au 0.978 -2.241 1.656
Au 1.954 -1.606 -1.525
Au 4.129 -2.784 2.514
Au 5.105 -2.149 -0.667
Er -0.357 -3.280 -0.764
Mg 0.000 0.000 0.000
Mg 2.863 -3.835 0.113
```

## Properties
Total DFT energy (no corrections) = -3.494 eV/atom
Spin magnetization = 0.01 μB/cell

=====

> Which of these has the lowest spin magnetization?

ErMg2AgAu4

=====

> What is the total DFT energy (no corrections) in the second record?

-3.494 eV/atom

=====

> total DFT energy (no corrections) of number 1 (KSmO3)?

-5.914 eV/atom